## Ca2ReSe (SCAN)

Data for Ca2ReSe at its PBEsol-relaxed geometry.

The density of states at the Fermi level comes out at 4.1 states/eV/f.u. As for the total energy: -108.5 eV for the cell shown. Its space-group type is F-43m. The uncorrected formation energy is 498.2 meV/atom.

a b c (Å): 4.824 4.824 4.824
angles (deg): 60.00 60.00 60.00
Sites, in units of the cell vectors:
Ca 0.000 0.000 0.000
Ca 0.750 0.750 0.750
Re 0.500 0.500 0.500
Se 0.250 0.250 0.250